[1]
Compound: Ba12Hg3Br5
Source: Alexandria via LeMat-Bulk
Functional: PBE
Structure: relaxed

Cell and atoms, written as CIF:
```
data_Ba12Hg3Br5
_cell_length_a 17.3666
_cell_length_b 17.3666
_cell_length_c 17.3666
_cell_angle_alpha 109.47
_cell_angle_beta 109.47
_cell_angle_gamma 109.47
_symmetry_space_group_name_H-M 'P 1'
_symmetry_Int_Tables_number 1
_symmetry_space_group_name_Hall 'P 1'
loop_
_atom_site_label
_atom_site_fract_x
_atom_site_fract_y
_atom_site_fract_z
Ba1 0.7244 0.5948 0.1756
Ba2 0.1756 0.0808 0.9512
Ba3 0.0488 0.4192 0.8244
Ba4 0.4192 0.3704 0.5948
Ba5 0.6296 0.0488 0.2244
Ba6 0.9512 0.5808 0.1756
Ba7 0.6756 0.2244 0.5948
Ba8 0.4052 0.1296 0.5808
Ba9 0.2244 0.6756 0.0948
Ba10 0.2244 0.5488 0.6296
Ba11 0.1296 0.4052 0.0808
Ba12 0.7756 0.4512 0.3704
Ba13 0.0948 0.1756 0.2244
Ba14 0.7756 0.3244 0.9052
Ba15 0.4512 0.7756 0.8704
Ba16 0.3244 0.7756 0.4052
Ba17 0.7244 0.1296 0.0488
Ba18 0.4512 0.6756 0.0808
Ba19 0.8244 0.9052 0.2756
Ba20 0.6756 0.4512 0.5808
Ba21 0.5808 0.9512 0.6756
Ba22 0.8704 0.5948 0.9192
Ba23 0.0808 0.9052 0.1296
Ba24 0.9052 0.8244 0.7756
Ba25 0.3704 0.4192 0.0948
Ba26 0.2756 0.8704 0.9512
Ba27 0.3704 0.9512 0.7756
Ba28 0.9512 0.3704 0.2756
Ba29 0.1296 0.7244 0.5488
Ba30 0.8244 0.9192 0.0488
Ba31 0.9052 0.0808 0.6296
Ba32 0.9192 0.8244 0.5488
Ba33 0.0488 0.6296 0.7244
Ba34 0.5488 0.2244 0.1296
Ba35 0.5488 0.3244 0.9192
Ba36 0.5948 0.7244 0.6756
Ba37 0.5808 0.6296 0.4052
Ba38 0.2756 0.4052 0.8244
Ba39 0.0948 0.9192 0.3704
Ba40 0.8704 0.2756 0.4512
Ba41 0.0808 0.1756 0.4512
Ba42 0.1756 0.0948 0.7244
Ba43 0.9192 0.0948 0.8704
Ba44 0.3244 0.5488 0.4192
Ba45 0.6296 0.5808 0.9052
Ba46 0.5948 0.8704 0.4192
Ba47 0.4052 0.2756 0.3244
Ba48 0.4192 0.0488 0.3244
Br1 0.2500 0.3750 0.6250
Br2 0.3750 0.2500 0.1250
Br3 0.5000 0.5000 0.5000
Br4 0.8750 0.2500 0.6250
Br5 0.7500 0.1250 0.8750
Br6 0.3750 0.1250 0.7500
Br7 0.2500 0.8750 0.1250
Br8 0.1250 0.3750 0.2500
Br9 0.0000 0.5000 0.0000
Br10 0.1250 0.7500 0.3750
Br11 0.5000 0.5000 0.0000
Br12 0.5000 0.0000 0.0000
Br13 0.6250 0.8750 0.2500
Br14 0.0000 0.5000 0.5000
Br15 0.6250 0.7500 0.8750
Br16 0.8750 0.6250 0.7500
Br17 0.0000 0.0000 0.0000
Br18 0.0000 0.0000 0.5000
Br19 0.7500 0.6250 0.3750
Br20 0.5000 0.0000 0.5000
Hg1 0.3750 0.7500 0.6250
Hg2 0.2500 0.1250 0.3750
Hg3 0.6250 0.2500 0.3750
Hg4 0.7500 0.8750 0.6250
Hg5 0.7500 0.3750 0.1250
Hg6 0.8750 0.7500 0.1250
Hg7 0.1250 0.8750 0.7500
Hg8 0.6250 0.3750 0.7500
Hg9 0.2500 0.6250 0.8750
Hg10 0.1250 0.2500 0.8750
Hg11 0.8750 0.1250 0.2500
Hg12 0.3750 0.6250 0.2500
```

Output
Space-group type: Ia-3d, No. 230
Density of states at the Fermi level in states/eV per atom: 1.23

[2]
Compound: BaHgBr2
Source: Alexandria via LeMat-Bulk
Functional: PBE
Structure: relaxed

Cell and atoms, written as CIF:
```
data_BaHgBr2
_cell_length_a 4.1079
_cell_length_b 4.1079
_cell_length_c 9.8817
_cell_angle_alpha 90.00
_cell_angle_beta 90.00
_cell_angle_gamma 90.00
_symmetry_space_group_name_H-M 'P 1'
_symmetry_Int_Tables_number 1
_symmetry_space_group_name_Hall 'P 1'
loop_
_atom_site_label
_atom_site_fract_x
_atom_site_fract_y
_atom_site_fract_z
Br1 0.0000 0.0000 0.9290
Br2 0.0000 0.0000 0.5710
Ba1 0.5000 0.5000 0.7500
Hg1 0.5000 0.5000 0.2500
```

Output
Space-group type: P4/mmm, No. 123
Energy above the lowest structure with this stoichiometry in meV per atom: 89.1

[3]
Compound: BaHgBr2
Source: Alexandria via LeMat-Bulk
Functional: PBE
Structure: relaxed

Cell and atoms, written as CIF:
```
data_BaHgBr2
_cell_length_a 9.4842
_cell_length_b 9.4842
_cell_length_c 7.8993
_cell_angle_alpha 53.11
_cell_angle_beta 53.11
_cell_angle_gamma 90.00
_symmetry_space_group_name_H-M 'P 1'
_symmetry_Int_Tables_number 1
_symmetry_space_group_name_Hall 'P 1'
loop_
_atom_site_label
_atom_site_fract_x
_atom_site_fract_y
_atom_site_fract_z
Hg1 0.0000 0.0000 0.0000
Hg2 0.7500 0.2500 0.5000
Ba1 0.2500 0.7500 0.5000
Ba2 0.5000 0.5000 0.0000
Br1 0.5624 0.1250 0.2500
Br2 0.8750 0.8124 0.7500
Br3 0.3750 0.4376 0.7500
Br4 0.1876 0.6250 0.2500
```

Output
Space-group type: I-42d, No. 122
Energy above the lowest structure with this stoichiometry in meV per atom: 122.3
Density of states at the Fermi level in states/eV per atom: 0.00

[4]
Compound: BaHgBr2
Source: Alexandria via LeMat-Bulk
Functional: PBE
Structure: relaxed

Cell and atoms, written as CIF:
```
data_BaHgBr2
_cell_length_a 4.9691
_cell_length_b 4.9691
_cell_length_c 10.0553
_cell_angle_alpha 75.58
_cell_angle_beta 75.58
_cell_angle_gamma 59.91
_symmetry_space_group_name_H-M 'P 1'
_symmetry_Int_Tables_number 1
_symmetry_space_group_name_Hall 'P 1'
loop_
_atom_site_label
_atom_site_fract_x
_atom_site_fract_y
_atom_site_fract_z
Br1 0.9711 0.9711 0.0887
Br2 0.5289 0.5289 0.4113
Ba1 0.2500 0.2500 0.2500
Hg1 0.7500 0.7500 0.7500
```

Output
Space-group type: C2/m, No. 12
Energy above the lowest structure with this stoichiometry in meV per atom: 0.8
Density of states at the Fermi level in states/eV per atom: 0.00

[5]
Compound: BaHg2Br2
Source: Alexandria via LeMat-Bulk
Functional: PBE
Structure: relaxed

Cell and atoms, written as CIF:
```
data_BaHg2Br2
_cell_length_a 8.4046
_cell_length_b 8.4046
_cell_length_c 6.4101
_cell_angle_alpha 90.00
_cell_angle_beta 90.00
_cell_angle_gamma 90.00
_symmetry_space_group_name_H-M 'P 1'
_symmetry_Int_Tables_number 1
_symmetry_space_group_name_Hall 'P 1'
loop_
_atom_site_label
_atom_site_fract_x
_atom_site_fract_y
_atom_site_fract_z
Hg1 0.6405 0.8595 0.5000
Hg2 0.1405 0.6405 0.5000
Hg3 0.8595 0.3595 0.5000
Hg4 0.3595 0.1405 0.5000
Br1 0.6657 0.1657 0.0000
Br2 0.1657 0.3343 0.0000
Br3 0.8343 0.6657 0.0000
Br4 0.3343 0.8343 0.0000
Ba1 0.5000 0.5000 0.0000
Ba2 0.0000 0.0000 0.0000
```

Output
Space-group type: P4/mbm, No. 127
Energy above the lowest structure with this stoichiometry in meV per atom: 72.6
Density of states at the Fermi level in states/eV per atom: 0.00

[6]
Compound: BaHg2Br6
Source: Alexandria via LeMat-Bulk
Functional: PBE
Structure: relaxed

Cell and atoms, written as CIF:
```
data_BaHg2Br6
_cell_length_a 7.9705
_cell_length_b 9.7559
_cell_length_c 9.7559
_cell_angle_alpha 75.28
_cell_angle_beta 73.41
_cell_angle_gamma 73.41
_symmetry_space_group_name_H-M 'P 1'
_symmetry_Int_Tables_number 1
_symmetry_space_group_name_Hall 'P 1'
loop_
_atom_site_label
_atom_site_fract_x
_atom_site_fract_y
_atom_site_fract_z
Br1 0.5187 0.3818 0.8257
Br2 0.6412 0.9370 0.8459
Br3 0.9997 0.4605 0.2247
Br4 0.4997 0.2247 0.4605
Br5 0.8588 0.1541 0.0630
Br6 0.5003 0.7753 0.5395
Br7 0.3588 0.0630 0.1541
Br8 0.1412 0.8459 0.9370
Br9 0.9813 0.1743 0.6182
Br10 0.0187 0.8257 0.3818
Br11 0.4813 0.6182 0.1743
Br12 0.0003 0.5395 0.7753
Hg1 0.7092 0.3730 0.1959
Hg2 0.2908 0.6270 0.8041
Hg3 0.7908 0.8041 0.6270
Hg4 0.2092 0.1959 0.3730
Ba1 0.2500 0.1870 0.8130
Ba2 0.7500 0.8130 0.1870
```

Output
Space-group type: C2/c, No. 15
Density of states at the Fermi level in states/eV per atom: 0.00

[7]
Compound: BaHgBr2
Source: Alexandria via LeMat-Bulk
Functional: PBE
Structure: relaxed

Cell and atoms, written as CIF:
```
data_BaHgBr2
_cell_length_a 4.9808
_cell_length_b 4.9808
_cell_length_c 9.8132
_cell_angle_alpha 75.30
_cell_angle_beta 75.30
_cell_angle_gamma 60.00
_symmetry_space_group_name_H-M 'P 1'
_symmetry_Int_Tables_number 1
_symmetry_space_group_name_Hall 'P 1'
loop_
_atom_site_label
_atom_site_fract_x
_atom_site_fract_y
_atom_site_fract_z
Hg1 0.5020 0.5020 0.4939
Br1 0.2779 0.2779 0.1662
Br2 0.0543 0.0543 0.8372
Ba1 0.6657 0.6657 0.0028
```

Output
Space-group type: R3m, No. 160
Energy above the lowest structure with this stoichiometry in meV per atom: 0.0
Density of states at the Fermi level in states/eV per atom: 0.00

[8]
Compound: BaHgBr2
Source: Alexandria via LeMat-Bulk
Functional: PBE
Structure: relaxed

Cell and atoms, written as CIF:
```
data_BaHgBr2
_cell_length_a 8.9042
_cell_length_b 5.4335
_cell_length_c 4.4921
_cell_angle_alpha 90.03
_cell_angle_beta 59.67
_cell_angle_gamma 127.63
_symmetry_space_group_name_H-M 'P 1'
_symmetry_Int_Tables_number 1
_symmetry_space_group_name_Hall 'P 1'
loop_
_atom_site_label
_atom_site_fract_x
_atom_site_fract_y
_atom_site_fract_z
Br1 0.5000 0.0000 0.5000
Br2 0.0000 0.0000 0.0000
Hg1 0.0000 0.5000 0.5000
Ba1 0.5000 0.5000 0.0000
```

Output
Space-group type: P4/mmm, No. 123
Energy above the lowest structure with this stoichiometry in meV per atom: 129.5
Density of states at the Fermi level in states/eV per atom: 0.00

[9]
Compound: BaHgBr
Source: Alexandria via LeMat-Bulk
Functional: PBE
Structure: relaxed

Cell and atoms, written as CIF:
```
data_BaHgBr
_cell_length_a 5.1550
_cell_length_b 4.2893
_cell_length_c 5.7784
_cell_angle_alpha 90.00
_cell_angle_beta 90.12
_cell_angle_gamma 90.00
_symmetry_space_group_name_H-M 'P 1'
_symmetry_Int_Tables_number 1
_symmetry_space_group_name_Hall 'P 1'
loop_
_atom_site_label
_atom_site_fract_x
_atom_site_fract_y
_atom_site_fract_z
Ba1 0.0000 0.0000 0.0000
Br1 0.5000 0.5000 0.0000
Hg1 0.0000 0.5000 0.5000
```

Output
Space-group type: P2/m, No. 10
Energy above the lowest structure with this stoichiometry in meV per atom: 144.5
Density of states at the Fermi level in states/eV per atom: 0.71

[10]
Compound: BaHgBr2
Source: Alexandria via LeMat-Bulk
Functional: PBE
Structure: relaxed

Cell and atoms, written as CIF:
```
data_BaHgBr2
_cell_length_a 6.4921
_cell_length_b 6.4921
_cell_length_c 6.4921
_cell_angle_alpha 135.62
_cell_angle_beta 135.62
_cell_angle_gamma 64.57
_symmetry_space_group_name_H-M 'P 1'
_symmetry_Int_Tables_number 1
_symmetry_space_group_name_Hall 'P 1'
loop_
_atom_site_label
_atom_site_fract_x
_atom_site_fract_y
_atom_site_fract_z
Hg1 0.5000 0.5000 0.0000
Br1 0.0000 0.0000 0.0000
Br2 0.2500 0.7500 0.5000
Ba1 0.7500 0.2500 0.5000
```

Output
Space-group type: I-4m2, No. 119
Energy above the lowest structure with this stoichiometry in meV per atom: 161.0
Density of states at the Fermi level in states/eV per atom: 0.00

[11]
Compound: BaHg2Br7
Source: Alexandria via LeMat-Bulk
Functional: PBE
Structure: relaxed

Cell and atoms, written as CIF:
```
data_BaHg2Br7
_cell_length_a 4.3764
_cell_length_b 10.7660
_cell_length_c 10.7660
_cell_angle_alpha 131.99
_cell_angle_beta 90.00
_cell_angle_gamma 90.00
_symmetry_space_group_name_H-M 'P 1'
_symmetry_Int_Tables_number 1
_symmetry_space_group_name_Hall 'P 1'
loop_
_atom_site_label
_atom_site_fract_x
_atom_site_fract_y
_atom_site_fract_z
Br1 0.0000 0.7193 0.2807
Br2 0.5000 0.2858 0.0756
Br3 0.5000 0.7142 0.9244
Br4 0.5000 0.0756 0.2858
Br5 0.5000 0.9244 0.7142
Br6 0.5000 0.5000 0.5000
Br7 0.0000 0.2807 0.7193
Hg1 0.5000 0.3599 0.6401
Hg2 0.5000 0.6401 0.3599
Ba1 0.0000 0.0000 0.0000
```

Output
Space-group type: Cmmm, No. 65
Density of states at the Fermi level in states/eV per atom: 0.59

[12]
Compound: Ba3Hg5Br12
Source: Alexandria via LeMat-Bulk
Functional: PBE
Structure: relaxed

Cell and atoms, written as CIF:
```
data_Ba3Hg5Br12
_cell_length_a 16.0708
_cell_length_b 16.0708
_cell_length_c 16.0708
_cell_angle_alpha 109.47
_cell_angle_beta 109.47
_cell_angle_gamma 109.47
_symmetry_space_group_name_H-M 'P 1'
_symmetry_Int_Tables_number 1
_symmetry_space_group_name_Hall 'P 1'
loop_
_atom_site_label
_atom_site_fract_x
_atom_site_fract_y
_atom_site_fract_z
Br1 0.9041 0.8066 0.7666
Br2 0.5959 0.7334 0.6934
Br3 0.9025 0.8066 0.5400
Br4 0.4025 0.3625 0.5959
Br5 0.5400 0.2334 0.1375
Br6 0.8066 0.9025 0.0400
Br7 0.7334 0.5959 0.1934
Br8 0.7666 0.4600 0.3625
Br9 0.4041 0.1375 0.5975
Br10 0.0400 0.6375 0.7334
Br11 0.8625 0.2666 0.4600
Br12 0.8625 0.5959 0.9025
Br13 0.8066 0.9041 0.2666
Br14 0.0959 0.9025 0.3625
Br15 0.1375 0.7334 0.5400
Br16 0.7666 0.3066 0.9041
Br17 0.4600 0.6934 0.0975
Br18 0.6934 0.4600 0.5975
Br19 0.9600 0.5975 0.1934
Br20 0.5400 0.3066 0.9025
Br21 0.2334 0.6934 0.0959
Br22 0.1375 0.4041 0.0975
Br23 0.1934 0.0959 0.7334
Br24 0.6934 0.2334 0.5959
Br25 0.4600 0.7666 0.8625
Br26 0.3066 0.5400 0.4025
Br27 0.2334 0.5400 0.6375
Br28 0.3625 0.4025 0.0959
Br29 0.6375 0.0400 0.2334
Br30 0.0959 0.1934 0.2334
Br31 0.9025 0.0959 0.8625
Br32 0.9600 0.3625 0.2666
Br33 0.3066 0.7666 0.4041
Br34 0.4041 0.2666 0.3066
Br35 0.5975 0.9600 0.6934
Br36 0.0975 0.1934 0.4600
Br37 0.3625 0.9600 0.7666
Br38 0.5959 0.8625 0.4025
Br39 0.4025 0.0400 0.3066
Br40 0.2666 0.4041 0.8066
Br41 0.0975 0.9041 0.1375
Br42 0.5975 0.6375 0.4041
Br43 0.6375 0.5975 0.9041
Br44 0.2666 0.8625 0.9600
Br45 0.0400 0.4025 0.8066
Br46 0.7334 0.1375 0.0400
Br47 0.9041 0.0975 0.6375
Br48 0.1934 0.0975 0.9600
Ba1 0.8750 0.1250 0.2500
Ba2 0.6250 0.2500 0.3750
Ba3 0.6250 0.3750 0.7500
Ba4 0.2500 0.6250 0.8750
Ba5 0.8750 0.7500 0.1250
Ba6 0.3750 0.6250 0.2500
Ba7 0.1250 0.8750 0.7500
Ba8 0.1250 0.2500 0.8750
Ba9 0.7500 0.8750 0.6250
Ba10 0.2500 0.1250 0.3750
Ba11 0.3750 0.7500 0.6250
Ba12 0.7500 0.3750 0.1250
Hg1 0.7500 0.6250 0.3750
Hg2 0.0000 0.0000 0.5000
Hg3 0.0000 0.0000 0.0000
Hg4 0.1250 0.3750 0.2500
Hg5 0.5000 0.5000 0.5000
Hg6 0.3750 0.1250 0.7500
Hg7 0.3750 0.2500 0.1250
Hg8 0.8750 0.6250 0.7500
Hg9 0.7500 0.1250 0.8750
Hg10 0.6250 0.7500 0.8750
Hg11 0.5000 0.0000 0.5000
Hg12 0.0000 0.5000 0.5000
Hg13 0.0000 0.5000 0.0000
Hg14 0.5000 0.5000 0.0000
Hg15 0.8750 0.2500 0.6250
Hg16 0.2500 0.3750 0.6250
Hg17 0.6250 0.8750 0.2500
Hg18 0.1250 0.7500 0.3750
Hg19 0.2500 0.8750 0.1250
Hg20 0.5000 0.0000 0.0000
```

Output
Space-group type: Ia-3d, No. 230

Asked for magnetic moment across the records above, the calculation gives 0.0, 0.0, 0.0, 0.0, 0.0, 0.0, 0.0, 0.0, 0.0, 0.0, 0.0, 0.0 Bohr magnetons per cell in order.
Asked for energy relative to the elements, uncorrected across the records above, the calculation gives -0.818, -1.485, -1.451, -1.573, -1.082, -0.995, -1.574, -1.444, -1.088, -1.413, -0.783, -1.080 eV/atom in order.